3
Lattice="5.033 0.000 0.000 -2.516 4.359 0.000 0.000 0.000 3.823" Properties=species:S:1:pos:R:3 comment="PmTlIn PBE relaxed" dos_ef_per_ev_atom=0.32 de_polymorph_mev_per_atom=5 delta_e_f_mev_per_atom=-354.0 pbc="T T T"
Pm 0.000 0.000 0.000
Tl 0.000 2.906 1.439
In 2.516 1.453 2.251

10
Lattice="7.341 -1.876 0.000 7.341 1.876 0.000 -6.106 0.000 8.571" Properties=species:S:1:pos:R:3 comment="ThNbSe3 PBE relaxed" dos_ef_per_ev_atom=0.25 energy_ev_per_cell=-68.8 pbc="T T T"
Th -1.277 0.000 3.507
Th 9.854 0.000 5.064
Nb -1.777 0.000 7.649
Nb 10.354 0.000 0.922
Se -4.338 0.000 8.127
Se 0.486 0.000 5.969
Se 3.705 0.000 2.856
Se 4.872 0.000 5.715
Se 8.091 0.000 2.602
Se 12.915 0.000 0.444

12
Lattice="3.840 -6.652 0.000 3.840 6.652 0.000 -2.560 0.000 7.385" Properties=species:S:1:pos:R:3 comment="Ce3SmPu2Te6 PBE relaxed" dos_ef_per_ev_atom=3.41 energy_ev_per_cell=-85.4 pbc="T T T"
Ce 0.000 0.000 0.000
Ce 3.840 2.205 0.000
Ce 3.840 -2.205 0.000
Sm 2.560 0.000 3.692
Pu 2.560 4.433 3.692
Pu 2.560 -4.433 3.692
Te 1.274 2.226 1.882
Te -0.012 0.000 5.498
Te 1.274 -2.226 1.882
Te 3.846 2.226 5.503
Te 5.132 0.000 1.887
Te 3.846 -2.226 5.503

5
Lattice="4.250 0.000 0.000 0.000 4.250 0.000 0.000 0.000 3.636" Properties=species:S:1:pos:R:3 comment="NbHC2S PBE relaxed" dos_ef_per_ev_atom=0.68 energy_ev_per_cell=-27.6 pbc="T T T"
Nb 0.000 0.000 0.000
H 0.000 0.000 1.818
C 0.000 2.125 0.000
C 2.125 0.000 0.000
S 2.125 2.125 1.818

8
Lattice="-3.363 3.363 2.109 3.363 -3.363 2.109 3.363 3.363 -2.109" Properties=species:S:1:pos:R:3 comment="Li2SiO PBE relaxed" dos_ef_per_ev_atom=0.07 de_polymorph_mev_per_atom=0 pbc="T T T"
Li 5.044 0.909 -0.527
Li 0.909 1.681 0.527
Li -1.681 2.454 1.582
Li 2.454 1.681 2.636
Si 3.363 0.000 1.055
Si 0.000 0.000 2.109
O 0.000 0.000 0.000
O 0.000 3.363 1.055

13
Lattice="6.245 -3.602 0.000 6.245 3.602 0.000 -6.082 0.000 7.157" Properties=species:S:1:pos:R:3 comment="Tl8AuO4 PBE relaxed" dos_ef_per_ev_atom=0.20 energy_ev_per_cell=-48.1 pbc="T T T"
Tl 1.152 1.837 5.067
Tl -2.056 0.000 5.127
Tl 5.256 1.837 2.090
Tl 2.157 0.000 2.012
Tl 4.251 0.000 5.145
Tl 1.152 -1.837 5.067
Tl 8.464 0.000 2.029
Tl 5.256 -1.837 2.090
Au 6.245 0.000 0.000
O 0.096 0.000 3.548
O 3.204 1.759 3.578
O 3.204 -1.759 3.578
O 6.312 0.000 3.609

4
Lattice="1.770 1.022 5.837 -1.770 1.022 5.837 0.000 -2.044 5.837" Properties=species:S:1:pos:R:3 comment="PrPuO2 PBE relaxed" dos_ef_per_ev_atom=1.22 de_polymorph_mev_per_atom=0 pbc="T T T"
Pr 0.000 0.000 0.000
Pu 0.000 0.000 8.755
O 0.000 0.000 4.247
O 0.000 0.000 13.263

4
Lattice="3.540 0.000 0.000 0.000 3.540 0.000 0.000 0.000 9.085" Properties=species:S:1:pos:R:3 comment="PrYTmAl PBE relaxed" dos_ef_per_ev_atom=0.83 de_polymorph_mev_per_atom=0 delta_e_f_mev_per_atom=-203.5 pbc="T T T"
Pr 0.000 0.000 0.000
Y 1.770 1.770 6.369
Tm 1.770 1.770 2.611
Al 0.000 0.000 4.460

4
Lattice="1.873 -7.164 0.000 1.873 7.164 0.000 0.000 0.000 8.083" Properties=species:S:1:pos:R:3 comment="BaBeSe2 PBE relaxed" energy_ev_per_cell=-15.3 pbc="T T T"
Ba 0.000 0.000 0.000
Be 0.000 0.000 4.042
Se 1.873 0.000 2.493
Se 1.873 0.000 5.590

16
Lattice="2.209 -7.618 0.000 2.209 7.618 0.000 0.000 0.000 16.504" Properties=species:S:1:pos:R:3 comment="K2TlCuBr4 PBE relaxed" dos_ef_per_ev_atom=0.00 energy_ev_per_cell=-48.6 pbc="T T T"
K 2.209 5.570 9.174
K 2.209 5.570 15.581
K 2.209 -5.570 0.922
K 2.209 -5.570 7.329
Tl 2.209 1.732 12.378
Tl 2.209 -1.732 4.126
Cu 2.209 2.589 4.126
Cu 2.209 -2.589 12.378
Br 2.209 6.303 12.378
Br 2.209 4.200 2.195
Br 2.209 4.200 6.057
Br 2.209 0.000 0.000
Br 2.209 0.000 8.252
Br 2.209 -4.200 10.446
Br 2.209 -4.200 14.309
Br 2.209 -6.303 4.126

14
Lattice="4.243 2.450 6.923 -4.243 2.450 6.923 0.000 -4.899 6.923" Properties=species:S:1:pos:R:3 comment="CaTb4YSe8 PBE relaxed" dos_ef_per_ev_atom=0.28 energy_ev_per_cell=-80.1 pbc="T T T"
Ca 0.000 0.000 0.000
Tb -2.157 -1.245 9.507
Tb 0.000 0.000 5.194
Tb 2.157 -1.245 9.507
Tb 0.000 2.491 9.507
Y 0.000 0.000 13.029
Se 0.000 0.000 7.954
Se 0.000 -2.291 11.204
Se -1.984 1.145 11.204
Se -1.957 -1.130 14.778
Se 1.984 1.145 11.204
Se 1.957 -1.130 14.778
Se 0.000 2.260 14.778
Se 0.000 0.000 17.975

12
Lattice="-3.299 3.299 4.684 3.299 -3.299 4.684 3.299 3.299 -4.684" Properties=species:S:1:pos:R:3 comment="K3PdF8 PBE relaxed" dos_ef_per_ev_atom=0.18 de_polymorph_mev_per_atom=14 pbc="T T T"
K 0.000 0.000 0.000
K 3.299 0.000 2.342
K 0.000 3.299 2.342
Pd 0.000 0.000 4.684
F 2.532 2.532 -2.202
F 1.387 -1.387 4.514
F 1.912 1.912 0.170
F 0.767 0.767 2.481
F 0.767 -0.767 6.886
F -1.387 1.387 4.514
F 1.387 1.387 4.853
F -0.767 0.767 6.886

6
Lattice="3.145 0.000 0.000 1.567 2.732 0.000 0.010 0.016 8.451" Properties=species:S:1:pos:R:3 comment="LiHfO PBE relaxed" dos_ef_per_ev_atom=0.33 de_polymorph_mev_per_atom=111 pbc="T T T"
Li 0.000 0.000 0.000
Li 1.586 0.932 6.803
Hf 0.014 0.017 4.598
Hf 3.140 1.818 2.156
O 1.572 0.912 0.630
O 3.158 1.845 6.151

5
Lattice="6.566 0.000 0.000 0.000 6.566 0.000 0.000 0.000 6.722" Properties=species:S:1:pos:R:3 comment="RbSnSbI2 PBE relaxed" dos_ef_per_ev_atom=0.86 de_polymorph_mev_per_atom=843 pbc="T T T"
Rb 0.000 0.000 0.000
Sn 3.283 3.283 3.361
Sb 0.000 0.000 3.361
I 0.000 3.283 0.000
I 3.283 0.000 0.000

4
Lattice="3.931 0.000 0.000 0.000 3.931 0.000 0.000 0.000 8.382" Properties=species:S:1:pos:R:3 comment="Ac2BiAs PBE relaxed" dos_ef_per_ev_atom=0.49 de_polymorph_mev_per_atom=263 delta_e_f_mev_per_atom=-960.4 pbc="T T T"
Ac 0.000 0.000 1.860
Ac 0.000 0.000 6.522
Bi 1.966 1.966 4.191
As 1.966 1.966 0.000